# CaPmPr6Er2

A relaxed structure of CaPmPr6Er2 (PBE-GGA, the Alexandria database).

Output
Theoretical density = 6.34 g cm⁻³
Energy relative to the elements = 120 meV/atom
Crystal system = monoclinic
SG = C2/c (15)

Cell lengths 9.844, 9.082, 9.082 Å; angles 117.59, 93.52, 93.52 degrees
Atoms (fractional coordinates):
Ca1 0.250 0.971 0.029
Ca2 0.750 0.029 0.971
Pm1 0.250 0.407 0.593
Pm2 0.750 0.593 0.407
Pr1 0.053 0.119 0.754
Pr2 0.447 0.246 0.881
Pr3 0.947 0.881 0.246
Pr4 0.553 0.754 0.119
Pr5 0.320 0.983 0.447
Pr6 0.180 0.553 0.017
Pr7 0.680 0.017 0.553
Pr8 0.820 0.447 0.983
Pr9 0.120 0.706 0.493
Pr10 0.380 0.507 0.294
Pr11 0.880 0.294 0.507
Pr12 0.620 0.493 0.706
Er1 0.454 0.802 0.699
Er2 0.046 0.301 0.198
Er3 0.546 0.198 0.301
Er4 0.954 0.699 0.802

***

# LiAl2Pd9

A relaxed structure of LiAl2Pd9 (PBE-GGA, the Alexandria database).

Output
Theoretical density = 9.49 g cm⁻³
Energy relative to the elements = -479 meV/atom
Crystal system = tetragonal
SG = P4/mmm (123)

Cell lengths 3.924, 3.924, 11.574 Å; angles 90.00, 90.00, 90.00 degrees
Atoms (fractional coordinates):
Li1 0.000 0.000 0.000
Al1 0.000 0.000 0.332
Al2 0.000 0.000 0.668
Pd1 0.500 0.500 0.000
Pd2 0.500 0.500 0.333
Pd3 0.500 0.500 0.667
Pd4 0.500 0.000 0.168
Pd5 0.500 0.000 0.500
Pd6 0.500 0.000 0.832
Pd7 0.000 0.500 0.168
Pd8 0.000 0.500 0.500
Pd9 0.000 0.500 0.832

***

# ScCo

A relaxed structure of ScCo (PBE-GGA, the Alexandria database).

Output
Theoretical density = 5.68 g cm⁻³
Energy relative to the elements = -354 meV/atom
Crystal system = cubic
SG = Pm-3m (221)

Cell lengths 3.121, 3.121, 3.121 Å; angles 90.00, 90.00, 90.00 degrees
Site moments in Bohr magnetons follow the coordinates.
Atoms (fractional coordinates):
Sc1 0.500 0.500 0.500  -0.11
Co1 0.000 0.000 0.000  0.40

***

# CaCe3Pr4Se8

A relaxed structure of CaCe3Pr4Se8 (PBE-GGA, the Alexandria database).

Output
Theoretical density = 6.40 g cm⁻³
Crystal system = trigonal
SG = R-3m (166)
E_form (uncorrected) = -1.850 eV per atom

Cell lengths 8.473, 8.472, 8.471 Å; angles 120.01, 120.00, 90.00 degrees
Site moments in Bohr magnetons follow the coordinates.
Atoms (fractional coordinates):
Ca1 0.000 0.500 0.000  0.00
Ce1 0.500 0.500 0.000  0.80
Ce2 0.500 0.500 0.500  0.80
Ce3 0.000 0.500 0.500  0.80
Pr1 0.500 0.000 0.000  0.02
Pr2 0.500 0.000 0.500  0.00
Pr3 0.000 0.000 0.000  0.00
Pr4 0.000 0.000 0.500  0.00
Se1 0.246 0.742 0.996  -0.01
Se2 0.246 0.743 0.492  -0.01
Se3 0.252 0.255 0.503  -0.01
Se4 0.751 0.742 0.996  -0.01
Se5 0.249 0.258 0.004  -0.01
Se6 0.748 0.745 0.497  -0.01
Se7 0.754 0.257 0.508  -0.01
Se8 0.754 0.258 0.004  -0.01